[1]
Here is a relaxed PrGe2Pd crystal from Alexandria via LeMat-Bulk. Energies are from PBE.

N(E_F) (states/eV/f.u.): 1.53
Formation energy from the elements (kJ/mol of formula units): -292
Total magnetic moment (μB/f.u.): 0.0

Cell: 14.014 4.346 11.007 Å, 90.00 90.00 90.00°
Space group Pnma (No. 62)
Unique sites:
Pr 0.044 0.250 0.245 (multiplicity 4)
Pr 0.204 0.750 0.516 (multiplicity 4)
Ge 0.038 0.250 0.536 (multiplicity 4)
Ge 0.118 0.250 0.743 (multiplicity 4)
Ge 0.128 0.750 0.020 (multiplicity 4)
Ge 0.201 0.750 0.231 (multiplicity 4)
Pd 0.056 0.250 0.955 (multiplicity 4)
Pd 0.211 0.750 0.803 (multiplicity 4)

[2]
Here is a relaxed RbNbAs2Se crystal from Alexandria via LeMat-Bulk. Energies are from PBE.

Energy relative to the elements, uncorrected (eV/atom): -0.317
N(E_F) (states/eV/f.u.): 4.35
Polymorph energy (0 for the lowest one) (eV/atom): 0.000
Total magnetic moment (μB/f.u.): 0.0

Cell: 5.115 5.115 5.178 Å, 90.00 90.00 90.00°
Space group P4/mmm (No. 123)
Unique sites:
Rb 0.000 0.000 0.000 (multiplicity 1)
Nb 0.500 0.500 0.500 (multiplicity 1)
As 0.000 0.500 0.500 (multiplicity 2)
Se 0.500 0.500 0.000 (multiplicity 1)

[3]
Here is a relaxed BaDyAg crystal from Alexandria via LeMat-Bulk. Energies are from PBE.

N(E_F) (states/eV/f.u.): 2.74
Formation energy from the elements (kJ/mol of formula units): -23
Total magnetic moment (μB/f.u.): 0.0

Cell: 3.867 3.867 13.804 Å, 90.00 90.00 90.00°
Space group I4mm (No. 107)
Unique sites:
Ba 0.000 0.000 0.000 (multiplicity 2)
Dy 0.000 0.000 0.271 (multiplicity 2)
Ag 0.000 0.000 0.673 (multiplicity 2)

[4]
Here is a relaxed Rb6ZrCl12 crystal from Alexandria via LeMat-Bulk. Energies are from PBE.

Energy relative to the elements, uncorrected (eV/atom): -1.656
N(E_F) (states/eV/f.u.): 7.86
Total magnetic moment (μB/f.u.): 2.0

Cell: 13.7821 13.7821 13.3995 Å, 90.00 90.00 120.00°
Space group R-3 (No. 148, hexagonal axes)
Unique sites:
Rb 0.0642 0.4736 0.3136 (multiplicity 18)
Zr 0.0000 0.0000 0.0000 (multiplicity 3)
Cl 0.0485 0.1676 0.8939 (multiplicity 18)
Cl 0.0711 0.2527 0.3990 (multiplicity 18)

[5]
Here is a relaxed Np3Tl2ZnO12 crystal from Alexandria via LeMat-Bulk. Energies are from PBE.

Energy relative to the elements, uncorrected (eV/atom): -2.164
N(E_F) (states/eV/f.u.): 8.94
Total magnetic moment (μB/f.u.): 1.0

Cell: 7.9050 7.9050 17.8164 Å, 90.00 90.00 120.00°
Space group R-3m (No. 166, hexagonal axes)
Unique sites:
Np 0.0000 0.5000 0.0000 (multiplicity 9)
Tl 0.0000 0.0000 0.1125 (multiplicity 6)
Zn 0.0000 0.0000 0.5000 (multiplicity 3)
O 0.0723 0.5362 0.3572 (multiplicity 18)
O 0.0787 0.5394 0.1015 (multiplicity 18)

[6]
Here is a relaxed ZrAg2Sb crystal from Alexandria via LeMat-Bulk. Energies are from PBE.

Energy relative to the elements, uncorrected (eV/atom): 0.005
N(E_F) (states/eV/f.u.): 2.17
Total magnetic moment (μB/f.u.): 0.0

Cell: 5.816 8.619 3.407 Å, 90.00 90.00 90.00°
Space group Cmmm (No. 65)
Unique sites:
Zr 0.000 0.000 0.000 (multiplicity 2)
Ag 0.250 0.250 0.500 (multiplicity 4)
Sb 0.000 0.500 0.000 (multiplicity 2)

[7]
Here is a relaxed SrCaZn2Pt crystal from Alexandria via LeMat-Bulk. Energies are from PBE.

N(E_F) (states/eV/f.u.): 3.29
Formation energy from the elements (kJ/mol of formula units): -161
Total magnetic moment (μB/f.u.): 0.0

Cell: 5.049 5.049 5.281 Å, 90.00 90.00 90.00°
Space group P4/mmm (No. 123)
Unique sites:
Sr 0.000 0.000 0.000 (multiplicity 1)
Ca 0.500 0.500 0.000 (multiplicity 1)
Zn 0.000 0.500 0.500 (multiplicity 2)
Pt 0.500 0.500 0.500 (multiplicity 1)

[8]
Here is a relaxed BeN2Cl crystal from Alexandria via LeMat-Bulk. Energies are from PBE.

Energy relative to the elements, uncorrected (eV/atom): 1.202
N(E_F) (states/eV/f.u.): 3.91
Polymorph energy (0 for the lowest one) (eV/atom): 0.232
Total magnetic moment (μB/f.u.): 0.0

Cell: 4.563 4.563 8.564 Å, 90.00 90.00 90.00°
Space group I-42d (No. 122)
Unique sites:
Be 0.000 0.000 0.000 (multiplicity 4)
N 0.136 0.250 0.125 (multiplicity 8)
Cl 0.000 0.000 0.500 (multiplicity 4)

[9]
Here is a relaxed CaTaH crystal from Alexandria via LeMat-Bulk. Energies are from PBE.

N(E_F) (states/eV/f.u.): 0.66
Polymorph energy (0 for the lowest one) (eV/atom): 0.260
Total magnetic moment (μB/f.u.): 0.0

Cell: 3.070 4.917 6.693 Å, 89.22 85.75 87.15°
Space group P1 (No. 1)
Unique sites:
Ca 0.000 0.000 0.000 (multiplicity 1)
Ca 0.039 0.511 0.299 (multiplicity 1)
Ta 0.419 0.994 0.545 (multiplicity 1)
Ta 0.691 0.519 0.732 (multiplicity 1)
H 0.232 0.271 0.746 (multiplicity 1)
H 0.495 0.863 0.266 (multiplicity 1)

[10]
Here is a relaxed Cu5Pt crystal from Alexandria via LeMat-Bulk. Energies are from PBE.

N(E_F) (states/eV/f.u.): 2.38
Polymorph energy (0 for the lowest one) (eV/atom): 0.038
Formation energy from the elements (kJ/mol of formula units): -37
Total magnetic moment (μB/f.u.): 0.0

Cell: 9.578 2.722 6.113 Å, 90.00 106.90 90.00°
Space group Cm (No. 8)
Unique sites:
Cu 0.000 0.000 0.000 (multiplicity 2)
Cu 0.046 0.000 0.607 (multiplicity 2)
Cu 0.160 0.500 0.343 (multiplicity 2)
Cu 0.207 0.500 0.924 (multiplicity 2)
Cu 0.330 0.000 0.675 (multiplicity 2)
Pt 0.375 0.000 0.264 (multiplicity 2)

[11]
Here is a relaxed KCuAs crystal from Alexandria via LeMat-Bulk. Energies are from PBE.

N(E_F) (states/eV/f.u.): 1.84
Formation energy from the elements (kJ/mol of formula units): -71
Total magnetic moment (μB/f.u.): 0.0

Cell: 4.0870 4.0870 5.2880 Å, 90.00 90.00 120.00°
Space group P-6m2 (No. 187)
Unique sites:
K 0.0000 0.0000 0.0000 (multiplicity 1)
Cu 0.3333 0.6667 0.5000 (multiplicity 1)
As 0.6667 0.3333 0.5000 (multiplicity 1)

[12]
Here is a relaxed GaHgSb2 crystal from Alexandria via LeMat-Bulk. Energies are from PBE.

Energy relative to the elements, uncorrected (eV/atom): 0.202
N(E_F) (states/eV/f.u.): 2.06
Polymorph energy (0 for the lowest one) (eV/atom): 0.163
Total magnetic moment (μB/f.u.): 0.0

Cell: 7.363 7.363 7.363 Å, 90.00 90.00 90.00°
Space group Fm-3m (No. 225)
Unique sites:
Ga 0.000 0.000 0.000 (multiplicity 4)
Hg 0.000 0.000 0.500 (multiplicity 4)
Sb 0.250 0.250 0.250 (multiplicity 8)

> Among the records above, which one has the lowest N(E_F)?

CaTaH

> N(E_F) of number 8 (BeN2Cl)?

3.91 states/eV/f.u.

> Which of these has the lowest N(E_F)?

CaTaH